Material: TlSnSb2
Method: DFT, PBE-GGA
State: relaxed

## Properties
DOS(E_F) = 2.20 states/eV per cell
Relative energy among the computed polymorphs = 101 meV/atom
Space group = No. 225
DFT total energy = -14.04 eV for the cell shown

a = 5.436 Å, b = 5.436 Å, c = 5.436 Å
α = 60.00°, β = 60.00°, γ = 60.00°
Fractional coordinates of all 4 atoms:
Sb (0.250, 0.250, 0.250)
Sb (0.750, 0.750, 0.750)
Tl (0.500, 0.500, 0.500)
Sn (0.000, 0.000, 0.000)